Crystalline FePC at its relaxed geometry. Source: the Alexandria database, functional PBE-GGA.

```
FePC
1.0
-4.094 -0.572 3.584
1.795 -0.778 1.926
2.278 8.423 1.280
Fe C P
4 4 4
Cartesian
-0.821 2.438 3.706
-1.237 0.812 1.481
0.800 4.635 3.084
-0.579 7.038 3.384
0.619 4.211 1.125
-0.398 7.461 5.343
0.377 -0.389 1.448
-2.435 3.639 3.740
1.621 6.645 3.130
-1.401 5.028 3.337
-1.643 0.427 3.660
-0.415 2.823 1.528
```

For the formation energy, the calculation gives 228 meV per atom. The calculation puts the polymorph energy (0 for the lowest one) at 0.095 eV/atom.

Crystalline AuClF2 at its relaxed geometry. Source: the Alexandria database, functional PBE-GGA.

```
AuClF2
1.0
3.589 -8.001 4.969
6.106 -6.869 4.139
4.834 -5.940 6.553
Cl F Au
1 2 1
Cartesian
7.264 -10.405 7.831
0.946 -1.355 1.020
13.582 -19.455 14.642
0.000 0.000 0.000
```

The value obtained for the formation energy from raw total energies is -0.2845 eV/atom. The calculation puts the polymorph energy (0 for the lowest one) at 0.488 eV/atom.

Crystalline PrCu2Pd4 at its relaxed geometry. Source: the Alexandria database, functional PBE-GGA.

```
PrCu2Pd4
1.0
-4.731 0.639 2.129
-2.208 -4.122 2.785
-0.357 1.861 5.102
Cu Pd Pr
2 4 1
Cartesian
-4.840 -0.650 5.544
-2.455 -0.973 4.472
-3.769 -3.175 5.464
-4.631 -2.020 3.170
-3.526 1.552 4.553
-2.664 0.397 6.847
-4.731 0.639 2.129
```

For the formation energy, the calculation gives -405 meV per atom. The calculation puts the polymorph energy (0 for the lowest one) at 0.000 eV/atom.

Crystalline Ga4Ir2Pt at its relaxed geometry. Source: the Alexandria database, functional PBE-GGA.

```
Ga4Ir2Pt
1.0
-4.619 -0.739 1.299
0.685 -5.812 -0.869
4.542 -0.501 6.934
Ga Ir Pt
8 4 2
Cartesian
2.482 -4.634 2.741
-0.714 -6.233 1.622
1.322 -0.819 5.743
1.638 -3.500 5.342
-1.874 -2.418 4.624
-1.030 -3.552 2.023
-0.032 -5.487 6.460
0.640 -1.566 0.905
2.705 -5.213 6.786
0.272 -5.043 3.732
0.337 -2.009 3.633
-2.097 -1.839 0.579
1.052 -4.498 0.704
-0.444 -2.554 6.661
```

For the formation energy, the calculation gives -291 meV per atom.

Crystalline Re2SbMo at its relaxed geometry. Source: the Alexandria database, functional PBE-GGA.

```
Re2SbMo
1.0
4.975 0.003 -0.007
4.020 2.931 -0.007
1.288 0.420 4.563
Re Mo Sb
2 1 1
Cartesian
7.715 2.516 3.676
1.297 0.423 4.295
2.626 0.856 1.298
5.074 1.655 2.117
```

The value obtained for the formation energy from raw total energies is 0.3799 eV/atom.

Crystalline Pm3PbS6 at its relaxed geometry. Source: the Alexandria database, functional PBE-GGA.

```
Pm3PbS6
1.0
-0.547 -4.448 6.953
8.251 0.165 0.565
-0.594 7.056 4.276
Pm S Pb
6 12 2
Cartesian
4.452 -0.478 2.322
1.637 3.675 3.042
6.961 3.538 6.810
2.657 3.251 9.472
5.472 -0.901 8.752
0.148 -0.764 4.983
3.070 0.642 8.446
6.101 0.807 6.580
-0.014 3.538 8.688
7.124 -0.764 3.106
7.156 4.415 4.159
-0.047 -1.641 7.634
1.008 1.967 5.214
4.983 -3.222 7.266
2.963 -0.973 4.727
4.147 3.747 7.067
2.127 5.996 4.528
4.040 2.131 3.348
0.000 0.000 0.000
3.555 1.387 5.897
```

The value obtained for the formation energy from raw total energies is -1.5702 eV/atom.

Crystalline GdTmRh at its relaxed geometry. Source: the Alexandria database, functional PBE-GGA.

```
GdTmRh
1.0
4.799 0.000 0.000
2.399 4.156 0.000
2.399 1.385 3.918
Rh Gd Tm
1 1 1
Cartesian
2.399 1.385 0.980
0.000 0.000 0.000
4.799 2.771 1.959
```

For the formation energy, the calculation gives -586 meV per atom. The calculation puts the polymorph energy (0 for the lowest one) at 0.000 eV/atom.

Crystalline PmNd2Th3N6 at its relaxed geometry. Source: the Alexandria database, functional PBE-GGA.

```
PmNd2Th3N6
1.0
3.660 0.000 0.000
0.000 7.284 0.274
-1.830 -2.086 7.687
Nd Pm N Th
2 1 6 3
Cartesian
0.000 1.732 2.652
1.830 3.465 5.309
1.830 0.000 0.000
0.000 1.565 5.295
0.000 5.364 5.345
1.830 3.632 2.666
1.830 -0.209 7.703
0.000 5.406 0.259
1.830 -0.166 2.617
0.000 5.376 2.789
1.830 -0.179 5.173
1.830 3.642 0.137
```

The value obtained for the formation energy from raw total energies is -1.5271 eV/atom.

Crystalline CaY2TaGa at its relaxed geometry. Source: the Alexandria database, functional PBE-GGA.

```
CaY2TaGa
1.0
-4.817 2.470 -0.499
-2.458 -5.015 -1.089
-0.912 -0.707 5.313
Ta Ca Y Ga
1 1 2 1
Cartesian
0.000 0.000 0.000
-1.229 -2.508 -0.545
-2.409 1.235 -0.249
-0.456 -0.353 2.656
-4.094 -1.626 1.862
```

For the formation energy, the calculation gives 782 meV per atom.

Crystalline Ho6CoRh2 at its relaxed geometry. Source: the Alexandria database, functional PBE-GGA.

```
Ho6CoRh2
1.0
6.428 0.000 -0.187
0.000 7.275 0.000
0.024 0.000 9.520
Ho Rh Co
12 4 2
Cartesian
5.347 4.945 3.990
5.383 4.891 0.506
4.271 1.254 3.973
2.181 6.021 5.360
1.069 2.384 8.826
5.495 6.971 7.005
0.957 0.304 2.327
2.269 3.941 2.339
4.307 1.308 0.489
4.183 3.333 6.994
2.145 5.967 8.844
1.105 2.330 5.342
2.923 0.857 7.193
0.327 4.494 6.993
3.529 6.418 2.140
6.124 2.781 2.339
0.012 0.000 4.760
3.214 3.637 -0.093
```

For the formation energy, the calculation gives -498 meV per atom.

Crystalline AcMg3In2 at its relaxed geometry. Source: the Alexandria database, functional PBE-GGA.

```
AcMg3In2
1.0
-2.963 -2.883 2.783
4.236 1.799 1.912
-7.424 12.318 4.858
In Mg Ac
4 6 2
Cartesian
-3.384 3.357 4.338
-1.455 0.157 3.076
-4.696 11.077 6.477
-2.767 7.876 5.215
-4.956 5.966 5.367
-3.712 6.159 2.429
1.156 1.368 2.648
-1.195 5.268 4.186
-7.307 9.866 6.905
0.000 0.000 0.000
-1.856 3.079 1.214
-5.568 9.238 3.643
```

For the formation energy, the calculation gives -256 meV per atom. The calculation puts the polymorph energy (0 for the lowest one) at 0.000 eV/atom.

Crystalline Sm2Sc3 at its relaxed geometry. Source: the Alexandria database, functional PBE-GGA.

```
Sm2Sc3
1.0
8.832 0.000 0.000
0.000 9.490 0.000
0.000 0.000 6.813
Sc Sm
12 8
Cartesian
0.246 5.971 2.403
5.722 2.372 3.406
0.246 8.264 4.410
4.662 5.971 1.004
4.662 8.264 5.809
7.526 7.117 0.000
8.586 3.519 4.410
3.110 7.117 3.406
1.306 2.372 0.000
4.170 3.519 5.809
4.170 1.226 1.004
8.586 1.226 2.403
6.107 8.566 2.631
2.725 3.821 2.631
7.141 3.821 0.775
2.725 0.924 4.182
1.691 8.566 0.775
7.141 0.924 6.038
1.691 5.669 6.038
6.107 5.669 4.182
```

For the formation energy, the calculation gives 145 meV per atom.

Crystalline Dy3ThCd2 at its relaxed geometry. Source: the Alexandria database, functional PBE-GGA.

```
Dy3ThCd2
1.0
-2.967 0.842 -1.927
0.065 -3.294 -1.540
-7.324 -4.501 9.312
Cd Dy Th
2 3 1
Cartesian
-2.584 -1.922 -0.292
-7.641 -5.030 6.137
0.000 0.000 0.000
-2.282 -1.402 2.901
-5.042 -3.099 6.411
-5.113 -3.476 2.923
```

For the formation energy, the calculation gives -214 meV per atom.

Crystalline CrSbMo2 at its relaxed geometry. Source: the Alexandria database, functional PBE-GGA.

```
CrSbMo2
1.0
-0.264 4.397 -0.782
-3.704 1.730 -1.818
-2.722 2.551 2.469
Cr Sb Mo
1 1 2
Cartesian
-3.345 4.339 -0.066
-1.672 2.170 -0.033
-5.017 6.509 -0.098
0.000 0.000 0.000
```

The value obtained for the formation energy from raw total energies is 0.3092 eV/atom.

Crystalline ErHfZrSc at its relaxed geometry. Source: the Alexandria database, functional PBE-GGA.

```
ErHfZrSc
1.0
-1.037 -2.374 -4.481
-2.434 -4.568 -0.006
-4.883 -0.328 -1.686
Er Hf Sc Zr
1 1 1 1
Cartesian
-2.088 -1.818 -1.543
-4.177 -3.635 -3.086
0.000 0.000 0.000
-6.265 -5.453 -4.629
```

For the formation energy, the calculation gives 200 meV per atom.

Crystalline SmDy5Tm4 at its relaxed geometry. Source: the Alexandria database, functional PBE-GGA.

```
SmDy5Tm4
1.0
6.290 0.000 0.000
3.145 7.143 0.000
3.145 0.000 7.143
Dy Tm Sm
5 4 1
Cartesian
4.267 0.000 0.000
9.121 2.703 6.497
5.976 0.646 2.703
2.831 4.440 0.646
5.976 6.497 4.440
9.133 5.016 4.296
2.843 2.127 2.847
5.988 4.296 2.127
5.988 2.847 5.016
1.403 0.000 0.000
```

For the formation energy, the calculation gives 310 meV per atom.

Crystalline Ce5Ir2Pt2 at its relaxed geometry. Source: the Alexandria database, functional PBE-GGA.

```
Ce5Ir2Pt2
1.0
-3.893 -5.505 3.490
-1.984 -2.883 -6.761
4.125 -7.021 1.784
Ce Ir Pt
10 4 4
Cartesian
0.000 0.000 0.000
-1.796 -11.981 -1.490
-2.224 -6.649 0.648
0.473 -8.761 -2.137
0.884 -8.140 1.764
-0.367 -4.049 -3.899
-2.938 -4.194 -1.636
-2.636 -7.270 -3.252
0.044 -3.428 0.002
-1.384 -11.361 2.411
-2.731 -3.872 1.314
-3.146 -4.516 -4.586
-4.627 -6.593 -1.256
-1.249 -1.795 -2.016
-1.344 -9.436 0.131
-0.407 -5.973 -1.620
1.594 -5.242 1.767
-1.362 -7.284 3.506
```

For the formation energy, the calculation gives -825 meV per atom. The calculation puts the polymorph energy (0 for the lowest one) at 0.000 eV/atom.

Crystalline SrZn3Ni at its relaxed geometry. Source: the Alexandria database, functional PBE-GGA.

```
SrZn3Ni
1.0
-1.213 -0.540 5.052
-5.942 -0.990 -1.533
4.019 -5.238 0.406
Zn Sr Ni
6 2 2
Cartesian
-1.831 -4.844 3.093
-2.622 -4.198 0.272
-4.668 -2.485 -0.037
-0.514 -2.571 3.652
1.533 -4.283 3.961
-1.304 -1.924 0.831
-3.644 -2.195 2.941
0.508 -4.573 0.984
-0.607 -0.270 2.526
0.000 0.000 0.000
```

For the formation energy, the calculation gives -204 meV per atom. The calculation puts the polymorph energy (0 for the lowest one) at 0.000 eV/atom.

Crystalline TaInPd5 at its relaxed geometry. Source: the Alexandria database, functional PBE-GGA.

```
TaInPd5
1.0
4.031 0.000 0.000
0.000 4.031 0.000
0.000 0.000 7.526
Pd In Ta
5 1 1
Cartesian
2.016 0.000 5.856
2.016 0.000 1.670
2.016 2.016 3.763
0.000 2.016 5.856
0.000 2.016 1.670
0.000 0.000 3.763
2.016 2.016 0.000
```

For the formation energy, the calculation gives -257 meV per atom.

Crystalline Cr2WCl at its relaxed geometry. Source: the Alexandria database, functional PBE-GGA.

```
Cr2WCl
1.0
-3.499 -1.915 1.731
-0.950 -4.120 -1.016
0.485 -3.139 2.970
Cr W Cl
2 1 1
Cartesian
-0.991 -2.293 0.921
0.000 0.000 0.000
-2.973 -6.880 2.764
-1.982 -4.587 1.843
```

The value obtained for the formation energy from raw total energies is 1.0573 eV/atom. The calculation puts the polymorph energy (0 for the lowest one) at 0.825 eV/atom.